Entry 1:
DFT (GGA-PBE) results for a relaxed Sr4Mg3Al crystal.

a = 4.064 Å, b = 4.064 Å, c = 16.963 Å
α = 90.00°, β = 90.00°, γ = 90.00°
Atoms (fractional coordinates):
Sr1 0.000 0.000 0.889
Sr2 0.000 0.000 0.111
Sr3 0.000 0.000 0.371
Sr4 0.000 0.000 0.629
Mg1 0.500 0.500 0.241
Mg2 0.500 0.500 0.500
Mg3 0.500 0.500 0.759
Al1 0.500 0.500 0.000

Properties
Magnetic moment, μB per atom: 0.000
ΔE_f, eV per atom: -0.069
Calculated density, g cm⁻³: 2.670


Entry 2:
DFT (GGA-PBE) results for a relaxed Tb4Zn2Cu crystal.

a = 6.105 Å, b = 6.105 Å, c = 6.105 Å
α = 109.23°, β = 109.59°, γ = 109.59°
Atoms (fractional coordinates):
Zn1 0.500 0.500 0.000
Zn2 0.500 0.000 0.500
Tb1 0.500 0.000 0.000
Tb2 0.500 0.500 0.500
Tb3 0.000 0.000 0.500
Tb4 0.000 0.500 0.000
Cu1 0.000 0.000 0.000

Properties
Magnetic moment, μB per atom: 0.000
ΔE_f, eV per atom: -0.162
Calculated density, g cm⁻³: 7.869